The following is a GGA-PBE calculation of an optimized crystal structure of La3CoBi, from Alexandria.

Output
Symmetry: P6_3/mmc (194)
Formation energy from the elements: -0.3413 eV/atom

Cell lengths 5.534, 5.534, 10.889 Å; angles 90.00, 90.00, 120.00 degrees
Fractional positions:
La (0.000, 0.000, 0.750)
La (0.333, 0.667, 0.450)
La (0.333, 0.667, 0.050)
La (0.667, 0.333, 0.950)
La (0.667, 0.333, 0.550)
La (0.000, 0.000, 0.250)
Bi (0.333, 0.667, 0.750)
Bi (0.667, 0.333, 0.250)
Co (0.000, 0.000, 0.000)
Co (0.000, 0.000, 0.500)